# 1
# ScAs, optimized geometry, DFT PBE
data_ScAs
_chemical_formula_sum 'Sc1 As1'
_space_group_name_H-M_alt 'P -6 m 2'
_space_group_IT_number 187
_space_group_name_Hall 'P -6 2'
_cell_length_a 3.8088
_cell_length_b 3.8088
_cell_length_c 3.4315
_cell_angle_alpha 90.00
_cell_angle_beta 90.00
_cell_angle_gamma 120.00
loop_
_atom_site_label
_atom_site_type_symbol
_atom_site_fract_x
_atom_site_fract_y
_atom_site_fract_z
Sc1 Sc 0.0000 0.0000 0.0000
As1 As 0.3333 0.6667 0.5000
# Total magnetization: 0.00 μB/atom
# Energy relative to the elements: -1.099 eV/atom
# Total energy: -6.590 eV/atom

=====

# 2
# LaRe2Hg, optimized geometry, DFT PBE
data_LaRe2Hg
_chemical_formula_sum 'La1 Re2 Hg1'
_space_group_name_H-M_alt 'P 4/m m m'
_space_group_IT_number 123
_space_group_name_Hall '-P 4 2'
_cell_length_a 2.820
_cell_length_b 2.820
_cell_length_c 9.845
_cell_angle_alpha 90.00
_cell_angle_beta 90.00
_cell_angle_gamma 90.00
loop_
_atom_site_label
_atom_site_type_symbol
_atom_site_fract_x
_atom_site_fract_y
_atom_site_fract_z
La1 La 0.000 0.000 0.000
Re1 Re 0.500 0.500 0.269
Hg1 Hg 0.000 0.000 0.500
# Total magnetization: 0.00 μB/atom
# Energy relative to the elements: 0.996 eV/atom
# Total energy: -6.535 eV/atom
# Energy above the most stable polymorph in this dataset: 820.6 meV per atom

=====

# 3
# TiCo3Tc, optimized geometry, DFT PBE
data_TiCo3Tc
_chemical_formula_sum 'Ti1 Co3 Tc1'
_space_group_name_H-M_alt 'P m -3 m'
_space_group_IT_number 221
_space_group_name_Hall '-P 4 2 3'
_cell_length_a 4.203
_cell_length_b 4.203
_cell_length_c 4.203
_cell_angle_alpha 90.00
_cell_angle_beta 90.00
_cell_angle_gamma 90.00
loop_
_atom_site_label
_atom_site_type_symbol
_atom_site_fract_x
_atom_site_fract_y
_atom_site_fract_z
Ti1 Ti 0.000 0.000 0.000
Co1 Co 0.000 0.000 0.500
Tc1 Tc 0.500 0.500 0.500
# Total magnetization: 1.05 μB/atom
# Energy relative to the elements: 1.161 eV/atom
# Total energy: -6.755 eV/atom
# Energy above the most stable polymorph in this dataset: 0.0 meV per atom

=====

# 4
# Th4GeBiAs2, optimized geometry, DFT PBE
data_Th4GeBiAs2
_chemical_formula_sum 'Th4 Ge1 Bi1 As2'
_space_group_name_H-M_alt 'P 1 2/m 1'
_space_group_IT_number 10
_space_group_name_Hall '-P 2y'
_cell_length_a 7.531
_cell_length_b 4.331
_cell_length_c 7.589
_cell_angle_alpha 90.00
_cell_angle_beta 109.15
_cell_angle_gamma 90.00
loop_
_atom_site_label
_atom_site_type_symbol
_atom_site_fract_x
_atom_site_fract_y
_atom_site_fract_z
Th1 Th 0.231 0.000 0.228
Th2 Th 0.243 0.500 0.761
Ge1 Ge 0.500 0.000 0.000
Bi1 Bi 0.500 0.500 0.500
As1 As 0.000 0.000 0.500
As2 As 0.000 0.500 0.000
# Total magnetization: 0.00 μB/atom
# Energy relative to the elements: -1.023 eV/atom
# Total energy: -6.958 eV/atom

=====

# 5
# Mg2TaPt, optimized geometry, DFT PBE
data_Mg2TaPt
_chemical_formula_sum 'Mg8 Ta4 Pt4'
_space_group_name_H-M_alt 'I -4 2 d'
_space_group_IT_number 122
_space_group_name_Hall 'I -4 2bw'
_cell_length_a 7.603
_cell_length_b 7.603
_cell_length_c 5.364
_cell_angle_alpha 90.00
_cell_angle_beta 90.00
_cell_angle_gamma 90.00
loop_
_atom_site_label
_atom_site_type_symbol
_atom_site_fract_x
_atom_site_fract_y
_atom_site_fract_z
Mg1 Mg 0.211 0.250 0.125
Ta1 Ta 0.000 0.000 0.500
Pt1 Pt 0.000 0.000 0.000
# Total magnetization: 0.00 μB/atom
# Energy relative to the elements: 0.234 eV/atom
# Total energy: -5.037 eV/atom
# Energy above the most stable polymorph in this dataset: 518.2 meV per atom

=====

# 6
# Na3Sn8, optimized geometry, DFT PBE
data_Na3Sn8
_chemical_formula_sum 'Na6 Sn16'
_space_group_name_H-M_alt 'C 1 2/m 1'
_space_group_IT_number 12
_space_group_name_Hall '-C 2y'
_cell_length_a 10.814
_cell_length_b 4.514
_cell_length_c 12.664
_cell_angle_alpha 90.00
_cell_angle_beta 104.97
_cell_angle_gamma 90.00
loop_
_atom_site_label
_atom_site_type_symbol
_atom_site_fract_x
_atom_site_fract_y
_atom_site_fract_z
Na1 Na 0.000 0.000 0.000
Na2 Na 0.083 0.000 0.639
Sn1 Sn 0.044 0.500 0.821
Sn2 Sn 0.154 0.500 0.449
Sn3 Sn 0.183 0.000 0.264
Sn4 Sn 0.225 0.500 0.083
# Total magnetization: 0.00 μB/atom
# Energy relative to the elements: -0.094 eV/atom
# Total energy: -3.365 eV/atom

=====

# 7
# BaSrZn2, optimized geometry, DFT PBE
data_BaSrZn2
_chemical_formula_sum 'Ba2 Sr2 Zn4'
_space_group_name_H-M_alt 'C 1 m 1'
_space_group_IT_number 8
_space_group_name_Hall 'C -2y'
_cell_length_a 12.600
_cell_length_b 3.947
_cell_length_c 5.605
_cell_angle_alpha 90.00
_cell_angle_beta 116.28
_cell_angle_gamma 90.00
loop_
_atom_site_label
_atom_site_type_symbol
_atom_site_fract_x
_atom_site_fract_y
_atom_site_fract_z
Ba1 Ba 0.000 0.000 0.000
Sr1 Sr 0.197 0.000 0.697
Zn1 Zn 0.270 0.500 0.269
Zn2 Zn 0.421 0.000 0.421
# Total magnetization: 0.00 μB/atom
# Energy relative to the elements: -0.110 eV/atom
# Total energy: -1.649 eV/atom

=====

# 8
# Sr2InGaPd, optimized geometry, DFT PBE
data_Sr2InGaPd
_chemical_formula_sum 'Sr2 In1 Ga1 Pd1'
_space_group_name_H-M_alt 'P 4/m m m'
_space_group_IT_number 123
_space_group_name_Hall '-P 4 2'
_cell_length_a 5.873
_cell_length_b 5.873
_cell_length_c 4.809
_cell_angle_alpha 90.00
_cell_angle_beta 90.00
_cell_angle_gamma 90.00
loop_
_atom_site_label
_atom_site_type_symbol
_atom_site_fract_x
_atom_site_fract_y
_atom_site_fract_z
Sr1 Sr 0.000 0.500 0.000
In1 In 0.000 0.000 0.500
Ga1 Ga 0.500 0.500 0.500
Pd1 Pd 0.500 0.500 0.000
# Total magnetization: 0.00 μB/atom
# Energy relative to the elements: -0.380 eV/atom
# Total energy: -3.244 eV/atom

=====

# 9
# CaTe2Ir, optimized geometry, DFT PBE
data_CaTe2Ir
_chemical_formula_sum 'Ca2 Te4 Ir2'
_space_group_name_H-M_alt 'I m m m'
_space_group_IT_number 71
_space_group_name_Hall '-I 2 2'
_cell_length_a 3.877
_cell_length_b 5.077
_cell_length_c 12.006
_cell_angle_alpha 90.00
_cell_angle_beta 90.00
_cell_angle_gamma 90.00
loop_
_atom_site_label
_atom_site_type_symbol
_atom_site_fract_x
_atom_site_fract_y
_atom_site_fract_z
Ca1 Ca 0.000 0.000 0.000
Te1 Te 0.000 0.500 0.152
Ir1 Ir 0.000 0.000 0.500
# Total magnetization: 0.00 μB/atom
# Raw formation energy: -0.584 eV/atom
# Total energy: -4.871 eV/atom
# Energy above the most stable polymorph in this dataset: 0.0 meV per atom

=====

# 10
# Re2AgHg2, optimized geometry, DFT PBE
data_Re2AgHg2
_chemical_formula_sum 'Re4 Ag2 Hg4'
_space_group_name_H-M_alt 'I 4/m m m'
_space_group_IT_number 139
_space_group_name_Hall '-I 4 2'
_cell_length_a 3.602
_cell_length_b 3.602
_cell_length_c 15.265
_cell_angle_alpha 90.00
_cell_angle_beta 90.00
_cell_angle_gamma 90.00
loop_
_atom_site_label
_atom_site_type_symbol
_atom_site_fract_x
_atom_site_fract_y
_atom_site_fract_z
Re1 Re 0.000 0.500 0.250
Ag1 Ag 0.000 0.000 0.000
Hg1 Hg 0.000 0.000 0.402
# Total magnetization: 0.00 μB/atom
# Energy relative to the elements: 0.769 eV/atom
# Total energy: -4.901 eV/atom
# Energy above the most stable polymorph in this dataset: 0.0 meV per atom

=====

# 11
# La2EuDy, optimized geometry, DFT PBE
data_La2EuDy
_chemical_formula_sum 'La2 Eu1 Dy1'
_space_group_name_H-M_alt 'P 4/m m m'
_space_group_IT_number 123
_space_group_name_Hall '-P 4 2'
_cell_length_a 3.738
_cell_length_b 3.738
_cell_length_c 10.492
_cell_angle_alpha 90.00
_cell_angle_beta 90.00
_cell_angle_gamma 90.00
loop_
_atom_site_label
_atom_site_type_symbol
_atom_site_fract_x
_atom_site_fract_y
_atom_site_fract_z
La1 La 0.000 0.000 0.235
Eu1 Eu 0.500 0.500 0.500
Dy1 Dy 0.500 0.500 0.000
# Total magnetization: 1.82 μB/atom
# Energy relative to the elements: 0.039 eV/atom
# Total energy: -6.143 eV/atom
# Energy above the most stable polymorph in this dataset: 0.0 meV per atom

=====

# 12
# NaMgNb, optimized geometry, DFT PBE
data_NaMgNb
_chemical_formula_sum 'Na2 Mg2 Nb2'
_space_group_name_H-M_alt 'P 1 21/m 1'
_space_group_IT_number 11
_space_group_name_Hall '-P 2yb'
_cell_length_a 5.202
_cell_length_b 3.347
_cell_length_c 8.136
_cell_angle_alpha 90.00
_cell_angle_beta 102.88
_cell_angle_gamma 90.00
loop_
_atom_site_label
_atom_site_type_symbol
_atom_site_fract_x
_atom_site_fract_y
_atom_site_fract_z
Na1 Na 0.242 0.250 0.485
Mg1 Mg 0.445 0.750 0.847
Nb1 Nb 0.044 0.750 0.122
# Total magnetization: 0.00 μB/atom
# Energy relative to the elements: 0.360 eV/atom
# Total energy: -3.968 eV/atom
# Energy above the most stable polymorph in this dataset: 182.7 meV per atom

=====

> Which value of total energy does entry 4 give?

-6.958 eV/atom

=====

> Which of these has the lowest total energy?

Th4GeBiAs2